No. 1
A plane-wave DFT calculation with PBE was carried out for a geometry-optimized DyTmNO structure.

abc: 3.366 3.366 4.788
angles: 90.00 90.00 90.00
Space group P4/mmm (No. 123)
One atom of each set of equivalent atoms:
Dy 0.000 0.000 0.000 (multiplicity 1)
Tm 0.500 0.500 0.500 (multiplicity 1)
N 0.500 0.500 0.000 (multiplicity 1)
O 0.000 0.000 0.500 (multiplicity 1)

***

No. 2
A plane-wave DFT calculation with PBE was carried out for a geometry-optimized DyTmNO structure.

abc: 4.803 3.935 6.805
angles: 90.00 90.00 90.00
Space group Pmma (No. 51)
One atom of each set of equivalent atoms:
Dy 0.250 0.000 0.165 (multiplicity 2)
Tm 0.250 0.500 0.668 (multiplicity 2)
N 0.250 0.500 0.340 (multiplicity 2)
O 0.250 0.000 0.818 (multiplicity 2)

***

No. 3
A plane-wave DFT calculation with PBE was carried out for a geometry-optimized DyTmNO structure.

abc: 4.826 3.929 6.824
angles: 90.00 90.00 90.00
Space group Pmma (No. 51)
One atom of each set of equivalent atoms:
Dy 0.250 0.000 0.165 (multiplicity 2)
Tm 0.250 0.500 0.668 (multiplicity 2)
N 0.250 0.000 0.830 (multiplicity 2)
O 0.250 0.500 0.337 (multiplicity 2)

***

Raw total energy: -7.931; -7.855; -7.833 (eV/atom)